# Cs5CdAu (PBE, relaxed)
# - formation enthalpy at 0 K (eV/atom) = -0.09
# - VASP energy (eV/atom) = -1.29
# - crystal system = monoclinic
# - volume (A^3/atom) = 72.073
data_Cs5CdAu
_chemical_formula_sum 'Cs20 Cd4 Au4'
_symmetry_space_group_name_H-M 'C 1 2/c 1'
_symmetry_Int_Tables_number 15
_symmetry_space_group_name_Hall '-C 2yc'
_cell_length_a 12.2025
_cell_length_b 13.0225
_cell_length_c 12.8220
_cell_angle_alpha 90.00
_cell_angle_beta 97.92
_cell_angle_gamma 90.00
loop_
_atom_site_label
_atom_site_fract_x
_atom_site_fract_y
_atom_site_fract_z
Cs1 0.0000 0.1433 0.2500
Cs2 0.1265 0.2200 0.6369
Cs3 0.2062 0.4347 0.0109
Cd1 0.0000 0.4743 0.2500
Au1 0.0000 0.0000 0.0000